SiPCl: single point on PBEsol structure, SCAN.

a = 4.291 Å, b = 4.291 Å, c = 4.291 Å
α = 60.00°, β = 60.00°, γ = 60.00°
Atoms (fractional coordinates):
Cl (0.500, 0.500, 0.500)
Si (0.000, 0.000, 0.000)
P (0.250, 0.250, 0.250)

Its energy relative to the lowest polymorph listed for this composition is 30.30 kJ per mole of atoms. The density of states at the Fermi level comes out at 0.91 states/eV/cell. Its uncorrected formation energy is 0.59 eV/atom. The calculation puts the magnetic moment at 0.00 μB per cell.

=====

K2LiNdBr6: single point on PBEsol structure, SCAN.

a = 7.747 Å, b = 7.747 Å, c = 7.747 Å
α = 60.00°, β = 60.00°, γ = 60.00°
Atoms (fractional coordinates):
K (0.750, 0.750, 0.750)
K (0.250, 0.250, 0.250)
Br (0.258, 0.258, 0.742)
Br (0.258, 0.742, 0.258)
Br (0.742, 0.258, 0.742)
Br (0.742, 0.258, 0.258)
Br (0.258, 0.742, 0.742)
Br (0.742, 0.742, 0.258)
Li (0.500, 0.500, 0.500)
Nd (0.000, 0.000, 0.000)

The density of states at the Fermi level comes out at 0.00 states/eV/cell. Its uncorrected formation energy is -1.93 eV/atom. The calculation puts the magnetic moment at 0.00 μB per cell.

=====

SrRhCl2: single point on PBEsol structure, SCAN.

a = 4.805 Å, b = 4.805 Å, c = 4.805 Å
α = 60.00°, β = 60.00°, γ = 60.00°
Last column: magnetic moment on the atom in μB.
Atoms (fractional coordinates):
Cl (0.250, 0.250, 0.250)  0.04
Cl (0.750, 0.750, 0.750)  0.04
Rh (0.000, 0.000, 0.000)  0.92
Sr (0.500, 0.500, 0.500)  -0.01

Its energy relative to the lowest polymorph listed for this composition is 2.73 kJ per mole of atoms. The density of states at the Fermi level comes out at 4.43 states/eV/cell. Its uncorrected formation energy is -0.99 eV/atom. The calculation puts the magnetic moment at 1.00 μB per cell.

=====

CeSbPd: single point on PBEsol structure, SCAN.

a = 4.552 Å, b = 4.552 Å, c = 7.726 Å
α = 90.00°, β = 90.00°, γ = 120.00°
Last column: magnetic moment on the atom in μB.
Atoms (fractional coordinates):
Ce (0.000, 0.000, 0.500)  0.94
Ce (0.000, 0.000, 0.000)  0.94
Pd (0.333, 0.667, 0.250)  -0.04
Pd (0.667, 0.333, 0.750)  -0.04
Sb (0.333, 0.667, 0.750)  -0.04
Sb (0.667, 0.333, 0.250)  -0.04

The density of states at the Fermi level comes out at 2.74 states/eV/cell. Its uncorrected formation energy is -1.15 eV/atom. The calculation puts the magnetic moment at 2.04 μB per cell.

=====

NaHfOs2I: single point on PBEsol structure, SCAN.

a = 4.793 Å, b = 4.793 Å, c = 6.147 Å
α = 90.00°, β = 90.00°, γ = 90.00°
Last column: magnetic moment on the atom in μB.
Atoms (fractional coordinates):
Os (0.000, 0.500, 0.000)  0.93
Os (0.500, 0.000, 0.000)  0.93
Na (0.000, 0.000, 0.500)  -0.01
Hf (0.000, 0.000, 0.000)  -0.15
I (0.500, 0.500, 0.500)  0.15

The density of states at the Fermi level comes out at 4.39 states/eV/cell. Its uncorrected formation energy is 1.61 eV/atom. The calculation puts the magnetic moment at 2.24 μB per cell.

=====

NiGeCl3: single point on PBEsol structure, SCAN.

a = 4.963 Å, b = 4.963 Å, c = 4.963 Å
α = 90.00°, β = 90.00°, γ = 90.00°
Last column: magnetic moment on the atom in μB.
Atoms (fractional coordinates):
Cl (0.500, 0.000, 0.000)  0.00
Cl (0.000, 0.500, 0.000)  0.00
Cl (0.000, 0.000, 0.500)  0.00
Ni (0.500, 0.500, 0.500)  0.96
Ge (0.000, 0.000, 0.000)  0.00

The density of states at the Fermi level comes out at 11.78 states/eV/cell. Its uncorrected formation energy is 0.15 eV/atom. The calculation puts the magnetic moment at 1.03 μB per cell.

=====

SrSnP3: single point on PBEsol structure, SCAN.

a = 5.248 Å, b = 5.248 Å, c = 5.248 Å
α = 90.00°, β = 90.00°, γ = 90.00°
Atoms (fractional coordinates):
P (0.000, 0.500, 0.000)
P (0.500, 0.000, 0.000)
P (0.000, 0.000, 0.500)
Sr (0.000, 0.000, 0.000)
Sn (0.500, 0.500, 0.500)

The density of states at the Fermi level comes out at 3.49 states/eV/cell. The calculation puts the formation energy at 1.27 eV per atom. The calculation puts the magnetic moment at 0.00 μB per cell.

=====

HgPb8: single point on PBEsol structure, SCAN.

a = 4.946 Å, b = 7.659 Å, c = 7.659 Å
α = 84.02°, β = 71.16°, γ = 71.16°
Atoms (fractional coordinates):
Pb (0.335, 0.330, 0.000)
Pb (0.670, 0.330, 0.330)
Pb (0.665, 0.000, 0.670)
Pb (0.335, 0.000, 0.330)
Pb (0.000, 0.670, 0.330)
Pb (0.665, 0.670, 0.000)
Pb (0.000, 0.330, 0.670)
Pb (0.330, 0.670, 0.670)
Hg (0.000, 0.000, 0.000)

The density of states at the Fermi level comes out at 4.72 states/eV/cell. The calculation puts the formation energy at 0.01 eV per atom. The calculation puts the magnetic moment at 0.00 μB per cell.

=====

ScWCl2: single point on PBEsol structure, SCAN.

a = 3.480 Å, b = 4.064 Å, c = 4.865 Å
α = 90.00°, β = 89.85°, γ = 90.00°
Atoms (fractional coordinates):
W (0.000, 0.500, 0.000)
Sc (0.500, 0.500, 0.500)
Cl (0.217, 0.000, 0.233)
Cl (0.783, 0.000, 0.767)

Its energy relative to the lowest polymorph listed for this composition is 0.00 kJ per mole of atoms. The density of states at the Fermi level comes out at 2.28 states/eV/cell. Its uncorrected formation energy is -0.09 eV/atom. The calculation puts the magnetic moment at 0.00 μB per cell.

=====

KAlAg2: single point on PBEsol structure, SCAN.

a = 2.923 Å, b = 5.248 Å, c = 5.248 Å
α = 90.16°, β = 89.97°, γ = 89.97°
Atoms (fractional coordinates):
Ag (0.000, 0.000, 0.500)
Ag (0.000, 0.500, 0.000)
Al (0.500, 0.500, 0.500)
K (0.500, 0.000, 0.000)

The density of states at the Fermi level comes out at 0.90 states/eV/cell. The calculation puts the formation energy at 0.24 eV per atom. The calculation puts the magnetic moment at 0.00 μB per cell.

=====

Hg2IrPb: single point on PBEsol structure, SCAN.

a = 3.108 Å, b = 3.108 Å, c = 10.372 Å
α = 81.38°, β = 81.38°, γ = 60.00°
Atoms (fractional coordinates):
Pb (0.237, 0.237, 0.290)
Hg (0.760, 0.760, 0.720)
Hg (0.005, 0.005, 0.986)
Ir (0.499, 0.499, 0.504)

The density of states at the Fermi level comes out at 1.31 states/eV/cell. The calculation puts the formation energy at 0.42 eV per atom. The calculation puts the magnetic moment at 0.00 μB per cell.

=====

BeSbAs2Se: single point on PBEsol structure, SCAN.

a = 5.174 Å, b = 5.210 Å, c = 5.210 Å
α = 90.00°, β = 90.00°, γ = 90.00°
Last column: magnetic moment on the atom in μB.
Atoms (fractional coordinates):
Be (0.500, 0.500, 0.500)  -0.06
As (0.000, 0.500, 0.000)  0.33
As (0.000, 0.000, 0.500)  0.33
Se (0.500, 0.000, 0.000)  0.11
Sb (0.000, 0.000, 0.000)  0.01

The density of states at the Fermi level comes out at 3.72 states/eV/cell. Its uncorrected formation energy is 1.35 eV/atom. The calculation puts the magnetic moment at 1.36 μB per cell.

=====

MnZn2Co: single point on PBEsol structure, SCAN.

a = 2.598 Å, b = 3.628 Å, c = 5.160 Å
α = 90.00°, β = 90.04°, γ = 90.00°
Last column: magnetic moment on the atom in μB.
Atoms (fractional coordinates):
Zn (0.000, 0.000, 0.758)  -0.07
Zn (0.000, 0.000, 0.242)  -0.07
Mn (0.500, 0.500, 0.500)  3.40
Co (0.500, 0.500, 0.000)  1.59

Its energy relative to the lowest polymorph listed for this composition is 5.87 kJ per mole of atoms. The density of states at the Fermi level comes out at 1.60 states/eV/cell. The calculation puts the formation energy at -0.12 eV per atom. The calculation puts the magnetic moment at 4.88 μB per cell.

=====

PrB4: single point on PBEsol structure, SCAN.

a = 4.112 Å, b = 7.225 Å, c = 7.225 Å
α = 90.00°, β = 90.00°, γ = 90.00°
Atoms (fractional coordinates):
B (0.500, 0.326, 0.461)
B (0.500, 0.826, 0.039)
B (0.795, 0.500, 0.500)
B (0.500, 0.674, 0.539)
B (0.500, 0.088, 0.412)
B (0.500, 0.539, 0.326)
B (0.205, 0.000, 0.000)
B (0.500, 0.412, 0.912)
B (0.500, 0.588, 0.088)
B (0.500, 0.461, 0.674)
B (0.500, 0.961, 0.826)
B (0.795, 0.000, 0.000)
B (0.500, 0.174, 0.961)
B (0.500, 0.039, 0.174)
B (0.205, 0.500, 0.500)
B (0.500, 0.912, 0.588)
Pr (0.000, 0.816, 0.316)
Pr (0.000, 0.684, 0.816)
Pr (0.000, 0.316, 0.184)
Pr (0.000, 0.184, 0.684)

The density of states at the Fermi level comes out at 1.82 states/eV/cell. The calculation puts the formation energy at -0.61 eV per atom. The calculation puts the magnetic moment at 0.00 μB per cell.

=====

BAsW3: single point on PBEsol structure, SCAN.

a = 4.171 Å, b = 4.171 Å, c = 4.171 Å
α = 90.00°, β = 90.00°, γ = 90.00°
Atoms (fractional coordinates):
As (0.500, 0.500, 0.500)
W (0.000, 0.500, 0.000)
W (0.500, 0.000, 0.000)
W (0.000, 0.000, 0.500)
B (0.000, 0.000, 0.000)

The density of states at the Fermi level comes out at 3.65 states/eV/cell. The calculation puts the formation energy at 0.76 eV per atom. The calculation puts the magnetic moment at 0.00 μB per cell.

=====

Sr2ZrHg: single point on PBEsol structure, SCAN.

a = 3.615 Å, b = 5.789 Å, c = 5.789 Å
α = 90.00°, β = 90.00°, γ = 90.00°
Last column: magnetic moment on the atom in μB.
Atoms (fractional coordinates):
Sr (0.000, 0.000, 0.500)  0.07
Sr (0.000, 0.500, 0.000)  0.07
Zr (0.500, 0.500, 0.500)  1.08
Hg (0.500, 0.000, 0.000)  -0.01

The density of states at the Fermi level comes out at 4.20 states/eV/cell. The calculation puts the formation energy at 0.21 eV per atom. The calculation puts the magnetic moment at 2.15 μB per cell.

=====

CsAgBr2: single point on PBEsol structure, SCAN.

a = 4.577 Å, b = 5.761 Å, c = 10.088 Å
α = 90.00°, β = 103.11°, γ = 90.00°
Atoms (fractional coordinates):
Cs (0.413, 0.250, 0.825)
Cs (0.587, 0.750, 0.175)
Br (0.772, 0.250, 0.544)
Br (0.228, 0.750, 0.456)
Br (0.068, 0.250, 0.135)
Br (0.932, 0.750, 0.865)
Ag (0.800, 0.750, 0.600)
Ag (0.200, 0.250, 0.400)

Its energy relative to the lowest polymorph listed for this composition is 0.33 kJ per mole of atoms. The density of states at the Fermi level comes out at 0.00 states/eV/cell. Its uncorrected formation energy is -1.21 eV/atom. The calculation puts the magnetic moment at 0.00 μB per cell.

=====

As3PtAu: single point on PBEsol structure, SCAN.

a = 4.831 Å, b = 4.831 Å, c = 4.831 Å
α = 90.00°, β = 90.00°, γ = 90.00°
Atoms (fractional coordinates):
As (0.000, 0.500, 0.000)
As (0.500, 0.000, 0.000)
As (0.000, 0.000, 0.500)
Pt (0.000, 0.000, 0.000)
Au (0.500, 0.500, 0.500)

The density of states at the Fermi level comes out at 2.98 states/eV/cell. The calculation puts the formation energy at 0.73 eV per atom. The calculation puts the magnetic moment at 0.00 μB per cell.

=====

BeCd2H: single point on PBEsol structure, SCAN.

a = 4.262 Å, b = 4.262 Å, c = 4.262 Å
α = 60.00°, β = 60.00°, γ = 60.00°
Atoms (fractional coordinates):
H (0.000, 0.000, 0.000)
Cd (0.750, 0.750, 0.750)
Cd (0.250, 0.250, 0.250)
Be (0.500, 0.500, 0.500)

The total energy is -16.47 eV/atom. The density of states at the Fermi level comes out at 1.08 states/eV/cell. The calculation puts the magnetic moment at 0.00 μB per cell.

=====

ZrCo2BMo: single point on PBEsol structure, SCAN.

a = 3.860 Å, b = 3.860 Å, c = 4.211 Å
α = 90.00°, β = 90.00°, γ = 90.00°
Last column: magnetic moment on the atom in μB.
Atoms (fractional coordinates):
Co (0.500, 0.000, 0.000)  1.11
Co (0.000, 0.500, 0.000)  1.11
B (0.000, 0.000, 0.000)  -0.08
Zr (0.500, 0.500, 0.500)  -0.12
Mo (0.000, 0.000, 0.500)  0.42

The density of states at the Fermi level comes out at 3.47 states/eV/cell. The calculation puts the formation energy at -0.13 eV per atom. The calculation puts the magnetic moment at 2.33 μB per cell.